The following is a DFT calculation (GGA-PBE) of an optimized crystal structure of PdSe3.

Summary:
- ΔE_f (raw): 0.020 eV per atom

a = 4.4459 Å, b = 6.6889 Å, c = 7.5402 Å
α = 68.04°, β = 77.88°, γ = 85.38°
Atoms (fractional coordinates):
1 Pd 0.2351 0.1621 0.2037
2 Pd 0.7649 0.8379 0.7963
3 Se 0.2290 0.7590 0.3600
4 Se 0.3031 0.7176 0.7092
5 Se 0.3087 0.3106 0.8474
6 Se 0.6913 0.6894 0.1526
7 Se 0.6969 0.2824 0.2908
8 Se 0.7710 0.2410 0.6400